(1)
NbHg3Rh: PBEsol geometry, meta-GGA SCAN.

Summary:
N(E_F) (states/eV per atom): 0.58
ΔE_f (eV per atom): 0.8993

abc: 5.011 5.011 5.011
angles: 90.00 90.00 90.00
Site moments in Bohr magnetons follow the coordinates.
Fractional coordinates of all 5 atoms:
Hg: 0.000 0.000 0.500  -0.01
Hg: 0.500 0.000 0.000  -0.01
Hg: 0.000 0.500 0.000  -0.01
Nb: 0.500 0.500 0.500  2.73
Rh: 0.000 0.000 0.000  0.26

(2)
Nb3HgRh: PBEsol geometry, meta-GGA SCAN.

Summary:
N(E_F) (states/eV per atom): 1.03
Energy relative to the lowest polymorph listed for this composition (kcal/mol of atoms): 0.00
ΔE_f (eV per atom): 0.8819

abc: 4.765 4.765 4.765
angles: 90.00 90.00 90.00
Fractional coordinates of all 5 atoms:
Nb: 0.000 0.500 0.000
Nb: 0.500 0.000 0.000
Nb: 0.000 0.000 0.500
Hg: 0.500 0.500 0.500
Rh: 0.000 0.000 0.000

(3)
ScNbHgRh2: PBEsol geometry, meta-GGA SCAN.

Summary:
N(E_F) (states/eV per atom): 0.90
ΔE_f (eV per atom): 0.5885

abc: 4.622 4.622 5.218
angles: 90.00 90.00 90.00
Fractional coordinates of all 5 atoms:
Rh: 0.000 0.500 0.000
Rh: 0.500 0.000 0.000
Sc: 0.500 0.500 0.500
Hg: 0.000 0.000 0.500
Nb: 0.000 0.000 0.000

(4)
Nb2HgRu: PBEsol geometry, meta-GGA SCAN.

Summary:
N(E_F) (states/eV per atom): 1.53
ΔE_f (eV per atom): 0.2764

abc: 4.598 4.598 4.598
angles: 60.00 60.00 60.00
Fractional coordinates of all 4 atoms:
Hg: 0.500 0.500 0.500
Nb: 0.750 0.750 0.750
Nb: 0.250 0.250 0.250
Ru: 0.000 0.000 0.000